DFT (PBE-GGA) results for crystalline NaZr4Se8 at its relaxed geometry.

a b c (Å): 11.259 11.259 11.259
angles (deg): 90.00 90.00 90.00
Space group F-43m (No. 216)
Symmetry-distinct sites (fractional):
1 Na 0.000 0.000 0.000 x4
2 Zr 0.121 0.121 0.379 x16
3 Se 0.120 0.120 0.620 x16
4 Se 0.137 0.137 0.137 x16

Results
Relative energy among the computed polymorphs   6.7 kJ per mole of atoms
Total DFT energy (no corrections)   -6.1701 eV per atom
Formation energy (no corrections)   -1.2942 eV per atom